Here is crystalline VZnHgF6 at its relaxed geometry from the Alexandria database. Energies are from PBE with a Hubbard U.

The structure belongs to space group P-31c (No. 163); the cell edges are 5.5313, 5.5313 and 11.1261 Å and the angles 90.00°, 90.00° and 120.00°. The distinct sites, in fractional coordinates, are V at (0.3333, 0.6667, 0.2500), Zn at (0.3333, 0.6667, 0.7500), Hg at (0.0000, 0.0000, 0.0000) and F at (0.0191, 0.4085, 0.1527).

The density of states at the Fermi level is 9.721 states/eV per cell. The calculation puts the total energy at -4.41 eV/atom. The value obtained for the volume is 147 Å³/f.u.